No. 1
This record from the Alexandria database describes a geometry-optimized KGa2NiHg structure. The functional is PBE.

a = 4.713 Å, b = 4.713 Å, c = 5.211 Å
α = 90.00°, β = 90.00°, γ = 90.00°
Positions (direct):
Ga 0.000 0.500 0.000
Ga 0.500 0.000 0.000
K 0.500 0.500 0.500
Hg 0.000 0.000 0.500
Ni 0.000 0.000 0.000

As for the total magnetization: 0.00 μB/f.u. The uncorrected energy is -2.777 eV/atom. As for the formation energy: -0.65 eV per formula unit.

No. 2
This record from the Alexandria database describes a geometry-optimized PmEuCu2 structure. The functional is PBE.

a = 3.607 Å, b = 3.607 Å, c = 7.209 Å
α = 90.00°, β = 90.00°, γ = 90.00°
Last column: magnetic moment on the atom in μB.
Positions (direct):
Cu 0.000 0.000 0.222  0.00
Cu 0.000 0.000 0.778  0.00
Eu 0.500 0.500 0.500  6.87
Pm 0.500 0.500 0.000  0.02

As for the total magnetization: 7.24 μB/f.u. The uncorrected energy is -5.934 eV/atom. As for the formation energy: -0.52 eV per formula unit.

No. 3
This record from the Alexandria database describes a geometry-optimized MnBeRh2 structure. The functional is PBE.

a = 2.894 Å, b = 2.883 Å, c = 6.572 Å
α = 63.98°, β = 90.00°, γ = 90.00°
Last column: magnetic moment on the atom in μB.
Positions (direct):
Rh 0.000 0.977 0.022  0.08
Rh 0.000 0.523 0.478  0.08
Mn 0.500 0.750 0.750  3.29
Be 0.500 0.250 0.250  -0.01

As for the total magnetization: 3.51 μB/f.u. The uncorrected energy is -7.283 eV/atom. As for the formation energy: -1.53 eV per formula unit.